# 1
A plane-wave DFT calculation with PBE-GGA was carried out for a relaxed ZrPt6Rh crystal.

The structure belongs to space group P4/mmm (No. 123); the cell edges are 5.668, 5.668 and 3.996 Å and the angles 90.00°, 90.00° and 90.00°. The distinct sites, in fractional coordinates, are Zr at (0.000, 0.000, 0.000), Pt at (0.000, 0.500, 0.000), Pt at (0.253, 0.253, 0.500) and Rh at (0.500, 0.500, 0.000).

As for the final energy: -56.047 eV/cell. As for the formation energy: -377 kJ/mol of formula units. As for the density of states at the Fermi level: 1.41 states/eV per atom.

# 2
A plane-wave DFT calculation with PBE-GGA was carried out for a relaxed ZrPtRh2 crystal.

The structure belongs to space group I-42d (No. 122); the cell edges are 3.923, 3.923 and 18.390 Å and the angles 90.00°, 90.00° and 90.00°. The distinct sites, in fractional coordinates, are Zr at (0.000, 0.000, 0.000), Pt at (0.000, 0.000, 0.500) and Rh at (0.229, 0.250, 0.625).

As for the final energy: -122.189 eV/cell. As for the formation energy: -121 kJ/mol of formula units. As for the density of states at the Fermi level: 1.00 states/eV per atom.

# 3
A plane-wave DFT calculation with PBE-GGA was carried out for a relaxed ZrPt2Rh8 crystal.

The structure belongs to space group C2/m (No. 12); the cell edges are 7.132, 13.657 and 4.702 Å and the angles 90.00°, 130.68° and 90.00°. The distinct sites, in fractional coordinates, are Zr at (0.000, 0.000, 0.000), Pt at (0.000, 0.316, 0.500), Rh at (0.000, 0.194, 0.000), Rh at (0.039, 0.500, 0.786) and Rh at (0.237, 0.138, 0.728).

As for the final energy: -159.579 eV/cell. As for the formation energy: -34 kJ/mol of formula units. As for the density of states at the Fermi level: 1.60 states/eV per atom.

# 4
A plane-wave DFT calculation with PBE-GGA was carried out for a relaxed Zr2Pt7Rh2 crystal.

The structure belongs to space group Immm (No. 71); the cell edges are 4.318, 6.643 and 12.896 Å and the angles 90.00°, 90.00° and 90.00°. The distinct sites, in fractional coordinates, are Zr at (0.000, 0.000, 0.158), Pt at (0.000, 0.203, 0.363), Pt at (0.000, 0.500, 0.201), Pt at (0.000, 0.500, 0.500) and Rh at (0.000, 0.293, 0.000).

As for the final energy: -160.223 eV/cell. As for the formation energy: -581 kJ/mol of formula units. As for the density of states at the Fermi level: 1.15 states/eV per atom.

# 5
A plane-wave DFT calculation with PBE-GGA was carried out for a relaxed ZrPtRh2 crystal.

The structure belongs to space group Fm-3m (No. 225); the cell edges are 6.396, 6.396 and 6.396 Å and the angles 90.00°, 90.00° and 90.00°. The distinct sites, in fractional coordinates, are Zr at (0.000, 0.000, 0.000), Pt at (0.000, 0.000, 0.500) and Rh at (0.250, 0.250, 0.250).

As for the final energy: -125.439 eV/cell. As for the formation energy: -200 kJ/mol of formula units. As for the density of states at the Fermi level: 0.20 states/eV per atom.

# 6
A plane-wave DFT calculation with PBE-GGA was carried out for a relaxed Zr7Pt2Rh2 crystal.

The structure belongs to space group Imm2 (No. 44); the cell edges are 3.433, 14.377 and 9.285 Å and the angles 90.00°, 90.00° and 90.00°. The distinct sites, in fractional coordinates, are Zr at (0.000, 0.000, 0.000), Zr at (0.000, 0.117, 0.409), Zr at (0.000, 0.316, 0.629), Zr at (0.000, 0.371, 0.261), Pt at (0.000, 0.000, 0.647), Pt at (0.000, 0.500, 0.749) and Rh at (0.000, 0.234, 0.930).

As for the final energy: -187.182 eV/cell. As for the formation energy: -672 kJ/mol of formula units. As for the density of states at the Fermi level: 0.94 states/eV per atom.

# 7
A plane-wave DFT calculation with PBE-GGA was carried out for a relaxed ZrPt7Rh4 crystal.

The structure belongs to space group P-1 (No. 2); the cell edges are 4.883, 5.581 and 7.393 Å and the angles 112.14°, 90.27° and 90.32°. The distinct sites, in fractional coordinates, are Zr at (0.000, 0.000, 0.000), Pt at (0.000, 0.500, 0.000), Pt at (0.169, 0.580, 0.663), Pt at (0.341, 0.161, 0.329), Pt at (0.499, 0.253, 0.999), Rh at (0.164, 0.083, 0.662) and Rh at (0.326, 0.669, 0.331).

As for the final energy: -84.020 eV/cell. As for the formation energy: -365 kJ/mol of formula units. As for the density of states at the Fermi level: 1.37 states/eV per atom.

# 8
A plane-wave DFT calculation with PBE-GGA was carried out for a relaxed Zr2PtRh crystal.

The structure belongs to space group C2/m (No. 12); the cell edges are 6.498, 3.769 and 6.974 Å and the angles 90.00°, 108.20° and 90.00°. The distinct sites, in fractional coordinates, are Zr at (0.248, 0.000, 0.243), Pt at (0.000, 0.000, 0.500) and Rh at (0.000, 0.500, 0.000).

As for the final energy: -66.099 eV/cell. As for the formation energy: -247 kJ/mol of formula units. As for the density of states at the Fermi level: 0.51 states/eV per atom.

# 9
A plane-wave DFT calculation with PBE-GGA was carried out for a relaxed ZrPt4Rh3 crystal.

The structure belongs to space group Immm (No. 71); the cell edges are 2.829, 7.285 and 12.956 Å and the angles 90.00°, 90.00° and 90.00°. The distinct sites, in fractional coordinates, are Zr at (0.000, 0.000, 0.000), Pt at (0.000, 0.312, 0.148), Rh at (0.000, 0.000, 0.500) and Rh at (0.000, 0.500, 0.330).

As for the final energy: -111.216 eV/cell. As for the formation energy: -81 kJ/mol of formula units. As for the density of states at the Fermi level: 1.29 states/eV per atom.

# 10
A plane-wave DFT calculation with PBE-GGA was carried out for a relaxed Zr2PtRh crystal.

The structure belongs to space group Immm (No. 71); the cell edges are 2.937, 5.130 and 10.281 Å and the angles 90.00°, 90.00° and 90.00°. The distinct sites, in fractional coordinates, are Zr at (0.000, 0.000, 0.245), Pt at (0.000, 0.000, 0.500) and Rh at (0.000, 0.000, 0.000).

As for the final energy: -60.582 eV/cell. As for the formation energy: 19 kJ/mol of formula units. As for the density of states at the Fermi level: 1.03 states/eV per atom.

# 11
A plane-wave DFT calculation with PBE-GGA was carried out for a relaxed Zr2PtRh crystal.

The structure belongs to space group I4/mmm (No. 139); the cell edges are 6.505, 6.505 and 6.965 Å and the angles 90.00°, 90.00° and 90.00°. The distinct sites, in fractional coordinates, are Zr at (0.241, 0.241, 0.000), Pt at (0.000, 0.000, 0.282) and Rh at (0.000, 0.500, 0.250).

As for the final energy: -135.338 eV/cell. As for the formation energy: -323 kJ/mol of formula units. As for the density of states at the Fermi level: 1.04 states/eV per atom.

# 12
A plane-wave DFT calculation with PBE-GGA was carried out for a relaxed ZrPt8Rh2 crystal.

The structure belongs to space group C2/m (No. 12); the cell edges are 14.350, 3.979 and 6.316 Å and the angles 90.00°, 105.41° and 90.00°. The distinct sites, in fractional coordinates, are Zr at (0.000, 0.000, 0.000), Pt at (0.047, 0.500, 0.726), Pt at (0.094, 0.000, 0.448), Pt at (0.136, 0.500, 0.184), Pt at (0.184, 0.000, 0.914) and Rh at (0.224, 0.500, 0.629).

As for the final energy: -151.485 eV/cell. As for the formation energy: -402 kJ/mol of formula units. As for the density of states at the Fermi level: 1.42 states/eV per atom.

# 13
A plane-wave DFT calculation with PBE-GGA was carried out for a relaxed ZrPt5Rh4 crystal.

The structure belongs to space group C2/m (No. 12); the cell edges are 13.614, 4.054 and 6.862 Å and the angles 90.00°, 118.80° and 90.00°. The distinct sites, in fractional coordinates, are Zr at (0.000, 0.000, 0.000), Pt at (0.000, 0.000, 0.500), Pt at (0.169, 0.500, 0.719), Pt at (0.173, 0.500, 0.117), Rh at (0.026, 0.500, 0.277) and Rh at (0.177, 0.000, 0.428).

As for the final energy: -138.353 eV/cell. As for the formation energy: -98 kJ/mol of formula units. As for the density of states at the Fermi level: 1.49 states/eV per atom.

# 14
A plane-wave DFT calculation with PBE-GGA was carried out for a relaxed Zr2Pt6Rh crystal.

The structure belongs to space group C2/m (No. 12); the cell edges are 12.302, 3.978 and 6.427 Å and the angles 90.00°, 108.83° and 90.00°. The distinct sites, in fractional coordinates, are Zr at (0.058, 0.000, 0.315), Pt at (0.106, 0.500, 0.668), Pt at (0.170, 0.000, 0.009), Pt at (0.221, 0.500, 0.336) and Rh at (0.000, 0.500, 0.000).

As for the final energy: -135.561 eV/cell. As for the formation energy: -684 kJ/mol of formula units. As for the density of states at the Fermi level: 0.81 states/eV per atom.

# 15
A plane-wave DFT calculation with PBE-GGA was carried out for a relaxed Zr2PtRh crystal.

The structure belongs to space group Cm (No. 8); the cell edges are 9.907, 3.177 and 4.817 Å and the angles 90.00°, 99.90° and 90.00°. The distinct sites, in fractional coordinates, are Zr at (0.000, 0.000, 0.000), Zr at (0.227, 0.000, 0.637), Pt at (0.239, 0.500, 0.151) and Rh at (0.481, 0.000, 0.479).

As for the final energy: -66.852 eV/cell. As for the formation energy: -283 kJ/mol of formula units. As for the density of states at the Fermi level: 1.06 states/eV per atom.

# 16
A plane-wave DFT calculation with PBE-GGA was carried out for a relaxed Zr2PtRh crystal.

The structure belongs to space group Imm2 (No. 44); the cell edges are 3.975, 4.062 and 8.968 Å and the angles 90.00°, 90.00° and 90.00°. The distinct sites, in fractional coordinates, are Zr at (0.000, 0.000, 0.000), Zr at (0.000, 0.500, 0.249), Pt at (0.000, 0.500, 0.749) and Rh at (0.000, 0.000, 0.502).

As for the final energy: -67.058 eV/cell. As for the formation energy: -293 kJ/mol of formula units. As for the density of states at the Fermi level: 0.86 states/eV per atom.

# 17
A plane-wave DFT calculation with PBE-GGA was carried out for a relaxed ZrPt6Rh2 crystal.

The structure belongs to space group P2_1/c (No. 14); the cell edges are 6.539, 5.147 and 9.224 Å and the angles 90.00°, 90.33° and 90.00°. The distinct sites, in fractional coordinates, are Zr at (0.000, 0.000, 0.000), Pt at (0.041, 0.009, 0.667), Pt at (0.332, 0.692, 0.382), Pt at (0.343, 0.185, 0.436) and Rh at (0.318, 0.513, 0.667).

As for the final energy: -121.358 eV/cell. As for the formation energy: -114 kJ/mol of formula units. As for the density of states at the Fermi level: 0.90 states/eV per atom.

# 18
A plane-wave DFT calculation with PBE-GGA was carried out for a relaxed ZrPt5Rh5 crystal.

The structure belongs to space group P-1 (No. 2); the cell edges are 4.149, 5.593 and 8.015 Å and the angles 74.84°, 88.26° and 89.42°. The distinct sites, in fractional coordinates, are Zr at (0.000, 0.000, 0.000), Pt at (0.000, 0.500, 0.000), Pt at (0.455, 0.165, 0.212), Pt at (0.493, 0.684, 0.145), Rh at (0.000, 0.000, 0.500), Rh at (0.009, 0.523, 0.654) and Rh at (0.488, 0.263, 0.538).

As for the final energy: -76.726 eV/cell. As for the formation energy: -117 kJ/mol of formula units. As for the density of states at the Fermi level: 1.46 states/eV per atom.

# 19
A plane-wave DFT calculation with PBE-GGA was carried out for a relaxed Zr2PtRh crystal.

The structure belongs to space group P4mm (No. 99); the cell edges are 3.562, 3.562 and 6.047 Å and the angles 90.00°, 90.00° and 90.00°. The distinct sites, in fractional coordinates, are Zr at (0.000, 0.000, 0.000), Zr at (0.500, 0.500, 0.347), Pt at (0.000, 0.000, 0.526) and Rh at (0.500, 0.500, 0.828).

As for the final energy: -33.280 eV/cell. As for the formation energy: -269 kJ/mol of formula units. As for the density of states at the Fermi level: 1.01 states/eV per atom.

# 20
A plane-wave DFT calculation with PBE-GGA was carried out for a relaxed Ru3Pt crystal.

The structure belongs to space group C2/m (No. 12); the cell edges are 9.061, 2.713 and 4.734 Å and the angles 90.00°, 99.86° and 90.00°. The distinct sites, in fractional coordinates, are Ru at (0.000, 0.000, 0.000), Ru at (0.247, 0.500, 0.238) and Pt at (0.000, 0.500, 0.500).

As for the final energy: -67.265 eV/cell. As for the formation energy: 23 kJ/mol of formula units. As for the density of states at the Fermi level: 1.05 states/eV per atom.

# 21
A plane-wave DFT calculation with PBE-GGA was carried out for a relaxed Ru3Pt crystal.

The structure belongs to space group Pnma (No. 62); the cell edges are 4.736, 8.849 and 5.463 Å and the angles 90.00°, 90.00° and 90.00°. The distinct sites, in fractional coordinates, are Ru at (0.082, 0.250, 0.129), Ru at (0.245, 0.503, 0.875) and Pt at (0.087, 0.250, 0.623).

As for the final energy: -134.775 eV/cell. As for the formation energy: 17 kJ/mol of formula units. As for the density of states at the Fermi level: 1.08 states/eV per atom.

# 22
A plane-wave DFT calculation with PBE-GGA was carried out for a relaxed Ru3Pt crystal.

The structure belongs to space group P-6m2 (No. 187); the cell edges are 2.7515, 2.7515 and 8.7588 Å and the angles 90.00°, 90.00° and 120.00°. The distinct sites, in fractional coordinates, are Ru at (0.0000, 0.0000, 0.0000), Ru at (0.3333, 0.6667, 0.2381) and Pt at (0.0000, 0.0000, 0.5000).

As for the final energy: -33.847 eV/cell. As for the formation energy: 2 kJ/mol of formula units. As for the density of states at the Fermi level: 1.21 states/eV per atom.

# 23
A plane-wave DFT calculation with PBE-GGA was carried out for a relaxed RuPt5 crystal.

The structure belongs to space group F-43m (No. 216); the cell edges are 7.375, 7.375 and 7.375 Å and the angles 90.00°, 90.00° and 90.00°. The distinct sites, in fractional coordinates, are Ru at (0.000, 0.000, 0.000), Pt at (0.125, 0.125, 0.375) and Pt at (0.250, 0.250, 0.750).

As for the final energy: -149.029 eV/cell. As for the formation energy: 214 kJ/mol of formula units. As for the density of states at the Fermi level: 0.55 states/eV per atom.

# 24
A plane-wave DFT calculation with PBE-GGA was carried out for a relaxed RuPt3 crystal.

The structure belongs to space group P-6m2 (No. 187); the cell edges are 2.7866, 2.7866 and 9.1113 Å and the angles 90.00°, 90.00° and 120.00°. The distinct sites, in fractional coordinates, are Ru at (0.0000, 0.0000, 0.0000), Pt at (0.0000, 0.0000, 0.5000) and Pt at (0.6667, 0.3333, 0.2396).

As for the final energy: -27.169 eV/cell. As for the formation energy: 22 kJ/mol of formula units. As for the density of states at the Fermi level: 1.71 states/eV per atom.